TbH9Ru2 | PBE-GGA | relaxed

Output
As for the energy: -52.67 eV/f.u. For the size of the total moment, the calculation gives 0.000 μB per formula unit. As for the space group: I4_1/amd, No. 141.

Unit cell a=6.273 b=6.273 c=6.273 alpha=99.72 beta=99.72 gamma=131.49
Element x y z (fractional)
Tb  0.375  0.625  0.750
Tb  0.625  0.375  0.250
H  0.125  0.875  0.250
H  0.159  0.594  0.333
H  0.159  0.826  0.565
H  0.174  0.239  0.333
H  0.174  0.841  0.935
H  0.239  0.174  0.833
H  0.239  0.406  0.065
H  0.406  0.239  0.565
H  0.406  0.841  0.167
H  0.594  0.159  0.833
H  0.594  0.761  0.435
H  0.761  0.594  0.935
H  0.761  0.826  0.167
H  0.826  0.159  0.065
H  0.826  0.761  0.667
H  0.841  0.174  0.435
H  0.841  0.406  0.667
H  0.875  0.125  0.750
Ru  0.000  0.000  0.000
Ru  0.000  0.000  0.500
Ru  0.000  0.500  0.000
Ru  0.500  0.000  0.500

=====

TbH3Ru | PBE-GGA | relaxed

Output
As for the energy: -25.69 eV/f.u. For the size of the total moment, the calculation gives 0.000 μB per formula unit. As for the space group: P2_1/c, No. 14.

Unit cell a=3.740 b=7.513 c=7.511 alpha=90.00 beta=98.37 gamma=90.00
Element x y z (fractional)
Tb  0.087  0.035  0.271
Tb  0.087  0.465  0.771
Tb  0.913  0.535  0.229
Tb  0.913  0.965  0.729
H  0.054  0.198  0.975
H  0.054  0.302  0.475
H  0.353  0.584  0.050
H  0.353  0.916  0.550
H  0.460  0.509  0.372
H  0.460  0.991  0.872
H  0.540  0.009  0.128
H  0.540  0.491  0.628
H  0.647  0.084  0.450
H  0.647  0.416  0.950
H  0.946  0.698  0.525
H  0.946  0.802  0.025
Ru  0.436  0.698  0.517
Ru  0.436  0.802  0.017
Ru  0.564  0.198  0.983
Ru  0.564  0.302  0.483

=====

Tb2H2Ru | PBE-GGA | relaxed

Output
As for the energy: -27.14 eV/f.u. For the size of the total moment, the calculation gives 0.000 μB per formula unit. As for the space group: P4/mmm, No. 123.

Unit cell a=3.406 b=3.406 c=6.664 alpha=90.00 beta=90.00 gamma=90.00
Element x y z (fractional)
Tb  0.000  0.000  0.244
Tb  0.000  0.000  0.756
H  0.000  0.500  0.000
H  0.500  0.000  0.000
Ru  0.500  0.500  0.500

=====

TbH4Ru | PBE-GGA | relaxed

Output
As for the energy: -29.64 eV/f.u. As for the energy above the lowest structure with this stoichiometry: 4 meV/atom. For the size of the total moment, the calculation gives 0.000 μB per formula unit. As for the space group: Cmcm, No. 63.

Unit cell a=3.755 b=3.755 c=8.379 alpha=90.00 beta=90.00 gamma=110.42
Element x y z (fractional)
Tb  0.000  0.000  0.000
Tb  0.000  0.000  0.500
H  0.139  0.357  0.250
H  0.355  0.645  0.547
H  0.355  0.645  0.953
H  0.357  0.139  0.750
H  0.643  0.861  0.250
H  0.645  0.355  0.047
H  0.645  0.355  0.453
H  0.861  0.643  0.750
Ru  0.353  0.647  0.750
Ru  0.647  0.353  0.250